Entry from Alexandria: AlPBr2 after structural relaxation (PBE).

Structure (POSCAR):
```
AlPBr2
1.0
3.928 0.000 0.000
0.000 7.003 0.235
0.000 5.840 5.245
Al Br P
1 2 1
Cartesian
1.964 8.404 3.083
0.000 0.281 0.058
1.964 3.448 1.851
0.000 7.132 3.227
```

## Properties
polymorph energy (0 for the lowest one): 0.232 eV/atom
uncorrected formation energy: -0.36 eV/atom
magnetic moment: 0.00 μB/atom